1.
A plane-wave DFT calculation with PBE-GGA was carried out for a relaxed structure of Sr2LaAgIr.

```
Sr2LaAgIr
1.0
-0.890 -6.331 -0.508
2.950 -0.104 -3.871
5.024 -1.016 3.855
Sr Ir Ag La
2 1 1 1
Direct
0.000 0.000 0.500
0.500 0.000 0.000
0.000 0.500 0.000
0.500 0.500 0.500
0.000 0.000 0.000
```

Results
VASP energy = -3.263 eV/atom
Crystal system = tetragonal
Energy relative to the elements = 0.738 eV/atom
Magnetization = 1.247 μB per formula unit

***

2.
A plane-wave DFT calculation with PBE-GGA was carried out for a relaxed structure of SrLa2AgIr.

```
SrLa2AgIr
1.0
-4.192 -2.917 -2.063
3.555 -3.088 -2.858
0.390 -3.837 4.632
Sr Ir Ag La
1 1 1 2
Direct
0.000 0.000 0.500
0.000 0.000 0.000
0.500 0.500 0.500
0.000 0.500 0.000
0.500 0.000 0.000
```

Results
VASP energy = -4.906 eV/atom
Crystal system = tetragonal
Energy relative to the elements = -0.256 eV/atom
Magnetization = 0.000 μB per formula unit

***

3.
A plane-wave DFT calculation with PBE-GGA was carried out for a relaxed structure of SrLaAgIr.

```
SrLaAgIr
1.0
5.231 0.000 0.000
2.616 4.530 0.000
2.616 1.510 4.271
Sr Ir Ag La
1 1 1 1
Direct
0.000 0.000 0.000
0.250 0.250 0.250
0.750 0.750 0.750
0.500 0.500 0.500
```

Results
VASP energy = -4.883 eV/atom
Crystal system = cubic
Energy relative to the elements = -0.303 eV/atom
Magnetization = 0.000 μB per formula unit

***

4.
A plane-wave DFT calculation with PBE-GGA was carried out for a relaxed structure of SrLa2AgIr.

```
SrLa2AgIr
1.0
5.498 0.000 0.000
0.000 5.498 0.000
0.000 0.000 5.590
Sr Ir Ag La
1 1 1 2
Direct
0.500 0.500 0.500
0.000 0.000 0.000
0.000 0.000 0.500
0.000 0.500 0.000
0.500 0.000 0.000
```

Results
VASP energy = -4.846 eV/atom
Crystal system = tetragonal
Energy relative to the elements = -0.196 eV/atom
Magnetization = 0.000 μB per formula unit